Entry 1:
The following is a DFT calculation (PBE) of a relaxed structure of PuNbSn.

abc: 3.8271 3.8271 5.4115
angles: 110.71 110.71 90.00
Fractional coordinates of all 3 atoms:
Sn1 0.6330 0.6330 0.2660
Pu1 0.9612 0.9612 0.9225
Nb1 0.2558 0.2558 0.5115

Summary:
- Energy relative to the elements: 6 kJ/mol of atoms
- DOS at the Fermi energy: 1.937 states/eV/atom
- Electronic total energy: -9.41 eV/atom
- V: 22.880 Å³/atom
- SG: I4mm (107)

Entry 2:
The following is a DFT calculation (PBE) of a relaxed structure of PuTiNbSn.

abc: 4.9052 4.9052 4.9052
angles: 60.00 60.00 60.00
Fractional coordinates of all 4 atoms:
Nb1 0.7500 0.7500 0.7500
Pu1 0.5000 0.5000 0.5000
Sn1 0.2500 0.2500 0.2500
Ti1 0.0000 0.0000 0.0000

Summary:
- Energy relative to the elements: 7 kJ/mol of atoms
- DOS at the Fermi energy: 2.222 states/eV/atom
- Electronic total energy: -9.00 eV/atom
- V: 20.864 Å³/atom
- SG: F-43m (216)

Entry 3:
The following is a DFT calculation (PBE) of a relaxed structure of PuTaNb2.

abc: 3.2805 4.8507 4.8507
angles: 90.00 90.00 90.00
Fractional coordinates of all 4 atoms:
Nb1 0.0000 0.5000 0.0000
Nb2 0.0000 0.0000 0.5000
Pu1 0.5000 0.0000 0.0000
Ta1 0.5000 0.5000 0.5000

Summary:
- Energy relative to the elements: 20 kJ/mol of atoms
- DOS at the Fermi energy: 1.755 states/eV/atom
- Electronic total energy: -11.37 eV/atom
- E above lowest polymorph: 62 meV/atom
- V: 19.297 Å³/atom
- SG: P4/mmm (123)

Entry 4:
The following is a DFT calculation (PBE) of a relaxed structure of PuTa2Nb.

abc: 4.7766 4.7766 4.7766
angles: 60.00 60.00 60.00
Fractional coordinates of all 4 atoms:
Nb1 0.0000 0.0000 0.0000
Ta1 0.2500 0.2500 0.2500
Ta2 0.7500 0.7500 0.7500
Pu1 0.5000 0.5000 0.5000

Summary:
- Energy relative to the elements: 22 kJ/mol of atoms
- DOS at the Fermi energy: 1.983 states/eV/atom
- Electronic total energy: -11.79 eV/atom
- E above lowest polymorph: 9 meV/atom
- V: 19.266 Å³/atom
- SG: Fm-3m (225)